[1]
Here is Al2CdAu after structural relaxation from Alexandria. Energies are from PBE-GGA.

a = 7.716 Å, b = 7.716 Å, c = 5.616 Å
α = 90.00°, β = 90.00°, γ = 90.00°
Space group I-42d (No. 122)
Inequivalent atoms, fractional coordinates:
1 Al 0.210 0.250 0.125 x8
2 Cd 0.000 0.000 0.500 x4
3 Au 0.000 0.000 0.000 x4

Total DFT energy (no corrections) (eV per atom): -2.869
N(E_F) (states/eV/f.u.): 1.60
DFT formation energy (eV/atom): 0.050

***

[2]
Here is Al3CdAu3 after structural relaxation from Alexandria. Energies are from PBE-GGA.

a = 7.084 Å, b = 7.084 Å, c = 7.084 Å
α = 90.00°, β = 90.00°, γ = 90.00°
Space group Pm-3n (No. 223)
Inequivalent atoms, fractional coordinates:
1 Al 0.000 0.250 0.500 x6
2 Cd 0.000 0.000 0.000 x2
3 Au 0.000 0.500 0.250 x6

Total DFT energy (no corrections) (eV per atom): -3.092
N(E_F) (states/eV/f.u.): 3.12
DFT formation energy (eV/atom): 0.047

***

[3]
Here is AlCd2Au after structural relaxation from Alexandria. Energies are from PBE-GGA.

a = 3.0632 Å, b = 3.0632 Å, c = 29.1222 Å
α = 90.00°, β = 90.00°, γ = 120.00°
Space group R-3m (No. 166, hexagonal axes)
Inequivalent atoms, fractional coordinates:
1 Al 0.0000 0.0000 0.0000 x3
2 Cd 0.0000 0.0000 0.2487 x6
3 Au 0.0000 0.0000 0.5000 x3

Total DFT energy (no corrections) (eV per atom): -2.231
N(E_F) (states/eV/f.u.): 0.36
DFT formation energy (eV/atom): -0.018

***

[4]
Here is AlCd2Au after structural relaxation from Alexandria. Energies are from PBE-GGA.

a = 2.893 Å, b = 4.923 Å, c = 11.604 Å
α = 90.00°, β = 90.00°, γ = 90.00°
Space group Imm2 (No. 44)
Inequivalent atoms, fractional coordinates:
1 Al 0.000 0.000 0.000 x2
2 Cd 0.000 0.000 0.437 x2
3 Cd 0.000 0.500 0.250 x2
4 Au 0.000 0.500 0.690 x2

Total DFT energy (no corrections) (eV per atom): -2.274
N(E_F) (states/eV/f.u.): 0.96
DFT formation energy (eV/atom): -0.061